First-principles (PBE-GGA) data for crystalline RbBaI2O at its relaxed geometry, as listed in the Alexandria database.

N(E_F)	0.80	states/eV per atom
raw formation energy	-0.830	eV per atom

a b c (Å): 6.524 6.524 4.666
angles (deg): 90.00 90.00 90.00
Space group P4/mmm (No. 123)
Asymmetric unit:
Rb 0.000 0.000 0.000 x1
Ba 0.500 0.500 0.500 x1
I 0.000 0.500 0.000 x2
O 0.000 0.000 0.500 x1